A plane-wave DFT calculation with PBE was carried out for crystalline TiF4 at its relaxed geometry.

Calculated values
Its space-group type is Pnma, No. 62. The energy above the most stable polymorph in this dataset is 0 meV per atom. The value obtained for the final energy is -6.424 eV/atom.

Lattice parameters (Å, degrees): 23.652 3.909 9.841 90.00 90.00 90.00
Fractional coordinates of all 60 atoms:
Ti (0.076, 0.250, 0.153)
Ti (0.099, 0.250, 0.549)
Ti (0.231, 0.250, 0.306)
Ti (0.269, 0.750, 0.806)
Ti (0.401, 0.750, 0.049)
Ti (0.424, 0.750, 0.653)
Ti (0.576, 0.250, 0.347)
Ti (0.599, 0.250, 0.951)
Ti (0.731, 0.250, 0.194)
Ti (0.769, 0.750, 0.694)
Ti (0.901, 0.750, 0.451)
Ti (0.924, 0.750, 0.847)
F (0.002, 0.250, 0.140)
F (0.029, 0.250, 0.608)
F (0.072, 0.250, 0.356)
F (0.081, 0.750, 0.167)
F (0.093, 0.250, 0.979)
F (0.102, 0.750, 0.532)
F (0.135, 0.250, 0.705)
F (0.159, 0.250, 0.195)
F (0.175, 0.250, 0.454)
F (0.212, 0.750, 0.923)
F (0.224, 0.750, 0.308)
F (0.231, 0.750, 0.651)
F (0.269, 0.250, 0.151)
F (0.276, 0.250, 0.808)
F (0.288, 0.250, 0.423)
F (0.325, 0.750, 0.954)
F (0.341, 0.750, 0.695)
F (0.365, 0.750, 0.205)
F (0.398, 0.250, 0.032)
F (0.407, 0.750, 0.479)
F (0.419, 0.250, 0.667)
F (0.428, 0.750, 0.856)
F (0.471, 0.750, 0.108)
F (0.498, 0.750, 0.640)
F (0.502, 0.250, 0.360)
F (0.529, 0.250, 0.892)
F (0.572, 0.250, 0.144)
F (0.581, 0.750, 0.333)
F (0.593, 0.250, 0.521)
F (0.602, 0.750, 0.968)
F (0.635, 0.250, 0.795)
F (0.659, 0.250, 0.305)
F (0.675, 0.250, 0.046)
F (0.712, 0.750, 0.577)
F (0.724, 0.750, 0.192)
F (0.731, 0.750, 0.849)
F (0.769, 0.250, 0.349)
F (0.776, 0.250, 0.692)
F (0.788, 0.250, 0.077)
F (0.825, 0.750, 0.546)
F (0.841, 0.750, 0.805)
F (0.865, 0.750, 0.295)
F (0.898, 0.250, 0.468)
F (0.907, 0.750, 0.021)
F (0.919, 0.250, 0.833)
F (0.928, 0.750, 0.644)
F (0.971, 0.750, 0.392)
F (0.998, 0.750, 0.860)